(1)
# Li2ZrSi

A relaxed structure of Li2ZrSi (GGA-PBEsol, Alexandria).

a = 3.806 Å, b = 3.806 Å, c = 4.634 Å
α = 90.00°, β = 90.00°, γ = 90.00°
Space group P4/mmm (No. 123)
Unique sites:
Li 0.000 0.500 0.000 [2 per cell]
Zr 0.000 0.000 0.500 [1 per cell]
Si 0.500 0.500 0.500 [1 per cell]

crystal system	tetragonal
formation energy without anion corrections	-115	kJ/mol of formula units


(2)
# LiZrSi

A relaxed structure of LiZrSi (GGA-PBEsol, Alexandria).

a = 2.9368 Å, b = 2.9368 Å, c = 7.2528 Å
α = 90.00°, β = 90.00°, γ = 120.00°
Space group P3m1 (No. 156)
Unique sites:
Li 0.0000 0.0000 0.0000 [1 per cell]
Zr 0.6667 0.3333 0.3891 [1 per cell]
Si 0.3333 0.6667 0.7067 [1 per cell]

crystal system	trigonal
formation energy without anion corrections	-7	kJ/mol of formula units


(3)
# Li2ZrSi

A relaxed structure of Li2ZrSi (GGA-PBEsol, Alexandria).

a = 5.405 Å, b = 9.445 Å, c = 2.727 Å
α = 90.00°, β = 90.00°, γ = 90.00°
Space group Cmmm (No. 65)
Unique sites:
Li 0.250 0.250 0.000 [4 per cell]
Zr 0.000 0.000 0.500 [2 per cell]
Si 0.000 0.500 0.500 [2 per cell]

crystal system	orthorhombic
formation energy without anion corrections	45	kJ/mol of formula units


(4)
# LiSmSn

A relaxed structure of LiSmSn (GGA-PBEsol, Alexandria).

a = 9.3593 Å, b = 9.3593 Å, c = 7.4331 Å
α = 90.00°, β = 90.00°, γ = 120.00°
Space group P6_3mc (No. 186)
Unique sites:
Li 0.1668 0.3336 0.0000 [6 per cell]
Li 0.3333 0.6667 0.6080 [2 per cell]
Sm 0.0000 0.0000 0.2889 [2 per cell]
Sm 0.0218 0.5109 0.2922 [6 per cell]
Sn 0.1666 0.3332 0.5578 [6 per cell]
Sn 0.3333 0.6667 0.0242 [2 per cell]

energy relative to the elements	-0.688	eV per atom
crystal system	hexagonal


(5)
# LiSmSn2

A relaxed structure of LiSmSn2 (GGA-PBEsol, Alexandria).

a = 4.379 Å, b = 18.848 Å, c = 4.452 Å
α = 90.00°, β = 90.00°, γ = 90.00°
Space group Cmcm (No. 63)
Unique sites:
Li 0.000 0.174 0.250 [4 per cell]
Sm 0.000 0.393 0.250 [4 per cell]
Sn 0.000 0.044 0.250 [4 per cell]
Sn 0.000 0.249 0.750 [4 per cell]

energy relative to the elements	-0.570	eV per atom
crystal system	orthorhombic


(6)
# LiSmTl2

A relaxed structure of LiSmTl2 (GGA-PBEsol, Alexandria).

a = 7.290 Å, b = 7.290 Å, c = 7.290 Å
α = 90.00°, β = 90.00°, γ = 90.00°
Space group Fm-3m (No. 225)
Unique sites:
Li 0.000 0.000 0.000 [4 per cell]
Sm 0.000 0.000 0.500 [4 per cell]
Tl 0.250 0.250 0.250 [8 per cell]

energy relative to the elements	-0.395	eV per atom
crystal system	cubic